(P)
Below is AcLa2Pb after structural relaxation, with properties calculated at the PBE level.

abc: 4.4655 6.7477 10.4769
angles: 90.00 90.00 109.32
Last column: nearest neighbours and their distance in Å.
Fractional coordinates of all 8 atoms:
La  0.3591  0.7182  0.9624  3 Pb 3.36-3.42, 3 La 3.65-3.67
La  0.3591  0.7182  0.5376  3 Pb 3.36-3.42, 3 La 3.65-3.67
La  0.6409  0.2818  0.4624  3 Pb 3.36-3.42, 3 La 3.65-3.67
La  0.6409  0.2818  0.0376  3 Pb 3.36-3.42, 3 La 3.65-3.67
Ac  0.9436  0.8872  0.2500  3 Pb 3.50-3.67, 4 La 3.90
Ac  0.0564  0.1128  0.7500  3 Pb 3.50-3.67, 4 La 3.90
Pb  0.7681  0.5362  0.7500  6 La 3.36-3.42, 3 Ac 3.50-3.67
Pb  0.2319  0.4638  0.2500  6 La 3.36-3.42, 3 Ac 3.50-3.67

Calculated density   7.94 g/cm³
SG   Cmcm
Magnetic moment   0.001 μB/atom

(Q)
Below is AcLa2Pb after structural relaxation, with properties calculated at the PBE level.

abc: 4.8854 4.9710 12.1605
angles: 90.00 101.59 90.00
Last column: nearest neighbours and their distance in Å.
Fractional coordinates of all 8 atoms:
La  0.3303  0.5000  0.6607  4 Pb 3.47-3.55, 6 La 3.49-3.71
La  0.4462  0.0000  0.8924  6 La 3.33-3.72, 4 Pb 3.49
La  0.5393  0.5000  0.0787  2 La 3.33, 2 Pb 3.42, 5 Ac 3.64-3.65
La  0.8285  0.0000  0.6570  4 Pb 3.41-3.61, 6 La 3.49-3.72
Ac  0.0835  0.0000  0.1671  1 Pb 3.46, 4 La 3.64
Ac  0.6927  0.5000  0.3854  4 Pb 3.59, 1 La 3.65
Pb  0.9387  0.5000  0.8773  10 La 3.42-3.61
Pb  0.2288  0.0000  0.4575  4 La 3.41-3.47, 5 Ac 3.46-3.59

Calculated density   8.17 g/cm³
SG   Amm2
Magnetic moment   0.000 μB/atom

(R)
Below is AcLa2Pb after structural relaxation, with properties calculated at the PBE level.

abc: 5.8229 5.8229 5.8229
angles: 60.00 60.00 60.00
Last column: nearest neighbours and their distance in Å.
Fractional coordinates of all 4 atoms:
Ac  0.0000  0.0000  0.0000  8 La 3.57
La  0.7500  0.7500  0.7500  4 Pb 3.57, 4 Ac 3.57
La  0.2500  0.2500  0.2500  4 Ac 3.57, 4 Pb 3.57
Pb  0.5000  0.5000  0.5000  8 La 3.57

Calculated density   8.47 g/cm³
SG   Fm-3m
Magnetic moment   0.000 μB/atom

The energy of each structure relative to the most stable one, in meV per atom, is as follows: (P) 0; (Q) 10; (R) 138.

(P)
Below is Ac3La2Pb4 after structural relaxation, with properties calculated at the PBE level.

abc: 5.3451 7.3549 9.1962
angles: 103.43 106.89 90.00
Last column: nearest neighbours and their distance in Å.
Fractional coordinates of all 9 atoms:
Pb  0.5036  0.2904  0.0071  1 Pb 3.12, 2 Ac 3.41, 1 La 3.46
Pb  0.2435  0.2681  0.4870  3 La 3.19-3.36, 3 Ac 3.45-3.57
Pb  0.4964  0.7096  0.9929  1 Pb 3.12, 2 Ac 3.41, 1 La 3.46
Pb  0.7565  0.7319  0.5130  3 La 3.19-3.36, 3 Ac 3.45-3.57
Ac  0.8777  0.4267  0.7555  7 Pb 3.45-3.76
Ac  0.0000  0.0000  0.0000  4 Pb 3.41
Ac  0.1223  0.5733  0.2445  7 Pb 3.45-3.76
La  0.6618  0.0777  0.3236  5 Pb 3.19-3.51
La  0.3382  0.9223  0.6764  5 Pb 3.19-3.51

Calculated density   8.85 g/cm³
SG   C2/m
Magnetic moment   0.000 μB/atom

(Q)
Below is Ac3La2Pb4 after structural relaxation, with properties calculated at the PBE level.

abc: 9.2464 9.3307 9.3956
angles: 90.00 119.48 90.00
Last column: nearest neighbours and their distance in Å.
Fractional coordinates of all 18 atoms:
Pb  0.2074  0.9791  0.4149  1 La 3.29, 5 Ac 3.37-3.43
Pb  0.7432  0.7500  0.9863  3 Ac 3.29-3.47, 2 La 3.39
Pb  0.2432  0.7500  0.9863  3 Ac 3.29-3.47, 2 La 3.39
Pb  0.2926  0.4791  0.5851  1 La 3.29, 5 Ac 3.37-3.43
Pb  0.7074  0.5209  0.4149  1 La 3.29, 5 Ac 3.37-3.43
Pb  0.7568  0.2500  0.0137  3 Ac 3.29-3.47, 2 La 3.39
Pb  0.2568  0.2500  0.0137  3 Ac 3.29-3.47, 2 La 3.39
Pb  0.7926  0.0209  0.5851  1 La 3.29, 5 Ac 3.37-3.43
La  0.4041  0.0540  0.8082  3 Pb 3.29-3.39, 1 La 3.30
La  0.9041  0.4460  0.8082  3 Pb 3.29-3.39, 1 La 3.30
La  0.5959  0.9460  0.1918  3 Pb 3.29-3.39, 1 La 3.30
La  0.0959  0.5540  0.1918  3 Pb 3.29-3.39, 1 La 3.30
Ac  0.4688  0.2500  0.4377  5 Pb 3.37-3.47
Ac  0.0000  0.0000  0.0000  6 Pb 3.29-3.40
Ac  0.5312  0.7500  0.5623  5 Pb 3.37-3.47
Ac  0.0312  0.7500  0.5623  5 Pb 3.37-3.47
Ac  0.9688  0.2500  0.4377  5 Pb 3.37-3.47
Ac  0.5000  0.5000  0.0000  6 Pb 3.29-3.40

Calculated density   8.41 g/cm³
SG   Cmce
Magnetic moment   0.000 μB/atom

The energy of each structure relative to the most stable one, in meV per atom, is as follows: (P) 0; (Q) 126.

(P)
Below is AcLaPb4 after structural relaxation, with properties calculated at the PBE level.

abc: 4.9430 7.0093 11.9477
angles: 90.00 101.94 90.00
Last column: nearest neighbours and their distance in Å.
Fractional coordinates of all 12 atoms:
Ac  0.2759  0.7500  0.5517  7 Pb 3.46-3.50
Ac  0.7241  0.2500  0.4483  7 Pb 3.46-3.50
Pb  0.0000  0.0000  0.0000  8 Pb 3.47-3.50, 4 La 3.50
Pb  0.0000  0.5000  0.0000  8 Pb 3.47-3.50, 4 La 3.50
Pb  0.4251  0.7500  0.8501  8 Pb 3.48-3.50, 1 Ac 3.49, 3 La 3.50
Pb  0.8514  0.9986  0.7028  3 Ac 3.46-3.50, 5 Pb 3.47-3.52, 2 La 3.49
Pb  0.1486  0.0014  0.2972  3 Ac 3.46-3.50, 5 Pb 3.47-3.52, 2 La 3.49
Pb  0.1486  0.4986  0.2972  3 Ac 3.46-3.50, 5 Pb 3.47-3.52, 2 La 3.49
Pb  0.5749  0.2500  0.1499  8 Pb 3.48-3.50, 1 Ac 3.49, 3 La 3.50
Pb  0.8514  0.5014  0.7028  3 Ac 3.46-3.50, 5 Pb 3.47-3.52, 2 La 3.49
La  0.5749  0.7500  0.1498  11 Pb 3.49-3.50
La  0.4251  0.2500  0.8502  11 Pb 3.49-3.50

Calculated density   9.80 g/cm³
SG   Cmcm
Magnetic moment   0.000 μB/atom

(Q)
Below is AcLaPb4 after structural relaxation, with properties calculated at the PBE level.

abc: 6.5692 6.5692 6.5692
angles: 60.00 60.00 60.00
Last column: nearest neighbours and their distance in Å.
Fractional coordinates of all 6 atoms:
Ac  0.0000  0.0000  0.0000  12 Pb 3.85, 4 La 4.02
Pb  0.6247  0.1258  0.6247  6 Pb 3.28-3.29
Pb  0.1258  0.6247  0.6247  6 Pb 3.28-3.29
Pb  0.6247  0.6247  0.6247  6 Pb 3.28-3.29
Pb  0.6247  0.6247  0.1258  6 Pb 3.28-3.29
La  0.2500  0.2500  0.2500  12 Pb 3.85, 4 Ac 4.02

Calculated density   9.90 g/cm³
SG   F-43m
Magnetic moment   0.121 μB/atom

The energy of each structure relative to the most stable one, in meV per atom, is as follows: (P) 0; (Q) 130.